Record 1
{"formula": "ScBe4Fe", "functional": "SCAN", "state": "single point on PBEsol structure", "final_energy_ev_per_atom": -8.474, "magnetic_moment_mub_per_atom": 0.1636, "lattice": [[0.0000, 3.1140, 3.1140], [3.1140, 0.0000, 3.1140], [3.1140, 3.1140, 0.0000]], "species": ["Sc", "Be", "Be", "Be", "Be", "Fe"], "frac_coords": [[0.0000, 0.0000, 0.0000], [0.3772, 0.3772, 0.3772], [0.3772, 0.3772, 0.8685], [0.3772, 0.8685, 0.3772], [0.8685, 0.3772, 0.3772], [0.7500, 0.7500, 0.7500]]}

Record 2
{"formula": "AgTeRh2", "functional": "SCAN", "state": "single point on PBEsol structure", "final_energy_ev_per_atom": -33.906, "magnetic_moment_mub_per_atom": 0.0023, "e_form_raw_ev_per_fu": 0.54, "lattice": [[3.5111, 0.0000, 0.0000], [0.0000, 3.5111, 0.0000], [0.0000, 0.0000, 5.4727]], "species": ["Ag", "Te", "Rh", "Rh"], "frac_coords": [[0.0000, 0.0000, 0.0000], [0.5000, 0.5000, 0.6725], [0.0000, 0.0000, 0.4886], [0.5000, 0.5000, 0.2051]]}

Record 3
{"formula": "KBe3", "functional": "SCAN", "state": "single point on PBEsol structure", "final_energy_ev_per_atom": -4.635, "magnetic_moment_mub_per_atom": 0.0000, "lattice": [[2.4431, 0.0000, 0.0000], [0.0000, 3.6761, 0.0000], [-0.8452, 0.0000, 6.9557]], "species": ["K", "Be", "Be", "Be"], "frac_coords": [[0.0000, 0.0000, 0.0000], [0.2118, 0.5000, 0.6350], [0.5000, 0.0000, 0.5000], [0.7882, 0.5000, 0.3650]]}

Record 4
{"formula": "NiAgOs2", "functional": "SCAN", "state": "single point on PBEsol structure", "final_energy_ev_per_atom": -46.880, "magnetic_moment_mub_per_atom": 0.0000, "e_above_lowest_polymorph_ev_per_atom": 0.584, "lattice": [[6.0177, 0.0000, 0.0000], [0.0000, 6.0177, 0.0000], [0.0000, 0.0000, 6.0177]], "species": ["Ni", "Ni", "Ni", "Ni", "Ag", "Ag", "Ag", "Ag", "Os", "Os", "Os", "Os", "Os", "Os", "Os", "Os"], "frac_coords": [[0.0000, 0.0000, 0.0000], [0.0000, 0.5000, 0.5000], [0.5000, 0.0000, 0.5000], [0.5000, 0.5000, 0.0000], [0.0000, 0.0000, 0.5000], [0.0000, 0.5000, 0.0000], [0.5000, 0.0000, 0.0000], [0.5000, 0.5000, 0.5000], [0.2500, 0.2500, 0.2500], [0.2500, 0.2500, 0.7500], [0.2500, 0.7500, 0.2500], [0.2500, 0.7500, 0.7500], [0.7500, 0.2500, 0.2500], [0.7500, 0.2500, 0.7500], [0.7500, 0.7500, 0.2500], [0.7500, 0.7500, 0.7500]]}

Record 5
{"formula": "Hf2FeTc", "functional": "SCAN", "state": "single point on PBEsol structure", "final_energy_ev_per_atom": -45.081, "magnetic_moment_mub_per_atom": 0.0038, "lattice": [[6.3189, 0.0000, 0.0000], [0.0000, 6.3189, 0.0000], [0.0000, 0.0000, 6.3189]], "species": ["Hf", "Hf", "Hf", "Hf", "Hf", "Hf", "Hf", "Hf", "Fe", "Fe", "Fe", "Fe", "Tc", "Tc", "Tc", "Tc"], "frac_coords": [[0.2500, 0.2500, 0.2500], [0.2500, 0.2500, 0.7500], [0.2500, 0.7500, 0.2500], [0.2500, 0.7500, 0.7500], [0.7500, 0.2500, 0.2500], [0.7500, 0.2500, 0.7500], [0.7500, 0.7500, 0.2500], [0.7500, 0.7500, 0.7500], [0.0000, 0.0000, 0.0000], [0.0000, 0.5000, 0.5000], [0.5000, 0.0000, 0.5000], [0.5000, 0.5000, 0.0000], [0.0000, 0.0000, 0.5000], [0.0000, 0.5000, 0.0000], [0.5000, 0.0000, 0.0000], [0.5000, 0.5000, 0.5000]]}

Record 6
{"formula": "Ta2InCl", "functional": "SCAN", "state": "single point on PBEsol structure", "final_energy_ev_per_atom": -42.992, "magnetic_moment_mub_per_atom": 0.0000, "e_form_raw_ev_per_fu": 2.56, "e_above_lowest_polymorph_ev_per_atom": 0.755, "lattice": [[4.8368, 0.0000, 0.0000], [0.0000, 4.8368, 0.0000], [0.0000, 0.0000, 3.0104]], "species": ["Ta", "Ta", "In", "Cl"], "frac_coords": [[0.0000, 0.5000, 0.0000], [0.5000, 0.0000, 0.0000], [0.0000, 0.0000, 0.5000], [0.5000, 0.5000, 0.5000]]}

Record 7
{"formula": "CaPbS2", "functional": "SCAN", "state": "single point on PBEsol structure", "final_energy_ev_per_atom": -27.393, "magnetic_moment_mub_per_atom": 0.0000, "e_form_raw_ev_per_fu": -4.87, "lattice": [[6.3191, 0.0000, 0.0000], [0.0000, 6.3191, 0.0000], [0.0000, 0.0000, 12.9511]], "species": ["Ca", "Ca", "Ca", "Ca", "Pb", "Pb", "Pb", "Pb", "S", "S", "S", "S", "S", "S", "S", "S"], "frac_coords": [[0.0000, 0.0000, 0.0000], [0.0000, 0.5000, 0.2500], [0.5000, 0.0000, 0.7500], [0.5000, 0.5000, 0.5000], [0.0000, 0.0000, 0.5000], [0.0000, 0.5000, 0.7500], [0.5000, 0.0000, 0.2500], [0.5000, 0.5000, 0.0000], [0.2325, 0.2500, 0.1250], [0.2500, 0.7325, 0.3750], [0.2500, 0.7675, 0.8750], [0.2675, 0.2500, 0.6250], [0.7325, 0.7500, 0.6250], [0.7500, 0.2325, 0.8750], [0.7500, 0.2675, 0.3750], [0.7675, 0.7500, 0.1250]]}

Record 8
{"formula": "ScCl", "functional": "SCAN", "state": "single point on PBEsol structure", "final_energy_ev_per_atom": -12.739, "magnetic_moment_mub_per_atom": 0.3999, "e_form_raw_ev_per_fu": -3.26, "lattice": [[3.4259, 0.0000, 0.0000], [-1.7129, 2.9669, 0.0000], [0.0000, 0.0000, 27.0777]], "species": ["Sc", "Sc", "Sc", "Sc", "Sc", "Sc", "Cl", "Cl", "Cl", "Cl", "Cl", "Cl"], "frac_coords": [[0.0000, 0.0000, 0.1204], [0.0000, 0.0000, 0.8796], [0.3333, 0.6667, 0.5463], [0.3333, 0.6667, 0.7871], [0.6667, 0.3333, 0.2129], [0.6667, 0.3333, 0.4537], [0.0000, 0.0000, 0.3937], [0.0000, 0.0000, 0.6063], [0.3333, 0.6667, 0.0604], [0.3333, 0.6667, 0.2730], [0.6667, 0.3333, 0.7270], [0.6667, 0.3333, 0.9396]]}

Record 9
{"formula": "ZnNi2Rh", "functional": "SCAN", "state": "single point on PBEsol structure", "final_energy_ev_per_atom": -20.008, "magnetic_moment_mub_per_atom": 0.3420, "lattice": [[8.4240, 0.0000, 0.0000], [0.0000, 2.6108, 0.0000], [-0.8556, 0.0000, 4.2971]], "species": ["Zn", "Zn", "Ni", "Ni", "Ni", "Ni", "Rh", "Rh"], "frac_coords": [[0.0000, 0.0000, 0.0000], [0.5000, 0.5000, 0.0000], [0.0050, 0.5000, 0.5132], [0.2512, 0.0000, 0.7637], [0.5050, 0.0000, 0.5132], [0.7512, 0.5000, 0.7637], [0.2555, 0.5000, 0.2758], [0.7555, 0.0000, 0.2758]]}

Record 10
{"formula": "InBiMoBr2", "functional": "SCAN", "state": "single point on PBEsol structure", "final_energy_ev_per_atom": -36.311, "magnetic_moment_mub_per_atom": 1.1446, "e_form_raw_ev_per_fu": 4.22, "lattice": [[5.6143, 0.0000, 0.0000], [0.0000, 5.6143, 0.0000], [0.0000, 0.0000, 6.0555]], "species": ["In", "Bi", "Mo", "Br", "Br"], "frac_coords": [[0.0000, 0.0000, 0.0000], [0.0000, 0.0000, 0.5000], [0.5000, 0.5000, 0.0000], [0.0000, 0.5000, 0.5000], [0.5000, 0.0000, 0.5000]]}

Record 11
{"formula": "Be4TeOs", "functional": "SCAN", "state": "single point on PBEsol structure", "final_energy_ev_per_atom": -20.941, "magnetic_moment_mub_per_atom": 0.0000, "e_form_raw_ev_per_fu": 0.90, "lattice": [[0.0000, 3.2315, 3.2315], [3.2315, 0.0000, 3.2315], [3.2315, 3.2315, 0.0000]], "species": ["Be", "Be", "Be", "Be", "Te", "Os"], "frac_coords": [[0.3797, 0.3797, 0.3797], [0.3797, 0.3797, 0.8610], [0.3797, 0.8610, 0.3797], [0.8610, 0.3797, 0.3797], [0.0000, 0.0000, 0.0000], [0.7500, 0.7500, 0.7500]]}

Record 12
{"formula": "Sr2SiPt", "functional": "SCAN", "state": "single point on PBEsol structure", "final_energy_ev_per_atom": -31.309, "magnetic_moment_mub_per_atom": 0.0008, "e_form_raw_ev_per_fu": -0.48, "lattice": [[8.1902, 0.0000, 0.0000], [0.0000, 8.1902, 0.0000], [0.0000, 0.0000, 6.3382]], "species": ["Sr", "Sr", "Sr", "Sr", "Sr", "Sr", "Sr", "Sr", "Si", "Si", "Si", "Si", "Pt", "Pt", "Pt", "Pt"], "frac_coords": [[0.2241, 0.7500, 0.1250], [0.2500, 0.2241, 0.8750], [0.2500, 0.2759, 0.3750], [0.2759, 0.7500, 0.6250], [0.7241, 0.2500, 0.6250], [0.7500, 0.7241, 0.3750], [0.7500, 0.7759, 0.8750], [0.7759, 0.2500, 0.1250], [0.0000, 0.0000, 0.5000], [0.0000, 0.5000, 0.7500], [0.5000, 0.0000, 0.2500], [0.5000, 0.5000, 0.0000], [0.0000, 0.0000, 0.0000], [0.0000, 0.5000, 0.2500], [0.5000, 0.0000, 0.7500], [0.5000, 0.5000, 0.5000]]}

Record 13
{"formula": "Sr4CeMn5O15", "functional": "SCAN", "state": "single point on PBEsol structure", "final_energy_ev_per_atom": -15.369, "magnetic_moment_mub_per_atom": 0.6800, "e_form_raw_ev_per_fu": -65.81, "lattice": [[8.8055, -2.6450, 0.0000], [8.8055, 2.6450, 0.0000], [-2.2316, 0.0000, 6.3712]], "species": ["Sr", "Sr", "Sr", "Sr", "Ce", "Mn", "Mn", "Mn", "Mn", "Mn", "O", "O", "O", "O", "O", "O", "O", "O", "O", "O", "O", "O", "O", "O", "O"], "frac_coords": [[0.0806, 0.0806, 0.2505], [0.2824, 0.2824, 0.7126], [0.7176, 0.7176, 0.2874], [0.9194, 0.9194, 0.7495], [0.5000, 0.5000, 0.5000], [0.0961, 0.0961, 0.7620], [0.2974, 0.2974, 0.1995], [0.5000, 0.5000, 0.0000], [0.7026, 0.7026, 0.8005], [0.9039, 0.9039, 0.2380], [0.0000, 0.0000, 0.5000], [0.0000, 0.5000, 0.0000], [0.1170, 0.6105, 0.3706], [0.1880, 0.6921, 0.0914], [0.2241, 0.2241, 0.3295], [0.3079, 0.8120, 0.9086], [0.3895, 0.8830, 0.6294], [0.4276, 0.4276, 0.7302], [0.5000, 0.0000, 0.0000], [0.5724, 0.5724, 0.2698], [0.6105, 0.1170, 0.3706], [0.6921, 0.1880, 0.0914], [0.7759, 0.7759, 0.6705], [0.8120, 0.3079, 0.9086], [0.8830, 0.3895, 0.6294]]}

Record 14
{"formula": "La2BeW", "functional": "SCAN", "state": "single point on PBEsol structure", "final_energy_ev_per_atom": -39.349, "magnetic_moment_mub_per_atom": 0.0000, "lattice": [[3.5493, 0.0000, 0.0000], [0.0000, 3.5493, 0.0000], [0.0000, 0.0000, 7.1917]], "species": ["La", "La", "Be", "W"], "frac_coords": [[0.0000, 0.0000, 0.2494], [0.0000, 0.0000, 0.7506], [0.5000, 0.5000, 0.0000], [0.5000, 0.5000, 0.5000]]}